{
  "formula": "Cu2SiPb",
  "functional": "PBE",
  "state": "optimized geometry",
  "density_g_cm3": 8.42,
  "crystal_system": "tetragonal",
  "magmom_total_mub_per_cell": 0.0,
  "e_above_lowest_polymorph_kj_per_mol_atoms": 17.2,
  "formation_energy_uncorrected_ev_per_atom": 0.2725,
  "lattice": [[3.133, 0.000, 0.000], [0.000, 3.133, 0.000], [0.000, 0.000, 7.278]],
  "species": ["Cu", "Cu", "Si", "Pb"],
  "fractional_positions": [[0.000, 0.000, 0.000], [0.500, 0.500, 0.181], [0.500, 0.500, 0.838], [0.000, 0.000, 0.476]]
}